1.
# AcSmAl2Pd5

A relaxed structure of AcSmAl2Pd5 (PBE-GGA, Alexandria via LeMat-Bulk).

calculated formation energy: -681 kJ/mol of formula units
crystal system: tetragonal
density of states at the Fermi level: 6.07 states/eV/f.u.

abc: 4.4054 4.4054 9.2222
angles: 90.00 90.00 90.00
Closest atoms and distances in Å follow each position.
Fractional coordinates of all 9 atoms:
Ac  0.0000  0.0000  0.0000  12 Pd 3.09-3.12
Sm  0.0000  0.0000  0.5000  8 Pd 3.29, 8 Al 3.38
Al  0.5000  0.5000  0.3566  4 Pd 2.47, 1 Al 2.64
Al  0.5000  0.5000  0.6434  4 Pd 2.47, 1 Al 2.64
Pd  0.0000  0.5000  0.2344  2 Al 2.47
Pd  0.0000  0.5000  0.7656  2 Al 2.47
Pd  0.5000  0.0000  0.2344  2 Al 2.47
Pd  0.5000  0.0000  0.7656  2 Al 2.47
Pd  0.5000  0.5000  0.0000  8 Pd 3.09, 4 Ac 3.12, 2 Al 3.29

---

2.
# Ac3AlSn2Pd9

A relaxed structure of Ac3AlSn2Pd9 (PBE-GGA, Alexandria via LeMat-Bulk).

calculated formation energy: -857 kJ/mol of formula units
crystal system: trigonal
density of states at the Fermi level: 3.33 states/eV/f.u.

abc: 6.8193 6.8193 9.1466
angles: 90.00 90.00 120.00
Closest atoms and distances in Å follow each position.
Fractional coordinates of all 15 atoms:
Ac  0.0000  0.0000  0.0000  12 Pd 3.10-3.41
Ac  0.3333  0.6667  0.7069  9 Pd 3.33-3.43
Ac  0.6667  0.3333  0.2931  9 Pd 3.33-3.43
Al  0.0000  0.0000  0.5000  6 Pd 2.46
Sn  0.3333  0.6667  0.1966  6 Pd 2.53-2.67
Sn  0.6667  0.3333  0.8034  6 Pd 2.53-2.67
Pd  0.0000  0.5000  0.0000  2 Sn 2.67
Pd  0.1327  0.2653  0.2928  1 Al 2.46, 1 Sn 2.53, 2 Pd 2.71
Pd  0.1327  0.8673  0.2928  1 Al 2.46, 1 Sn 2.53, 2 Pd 2.71
Pd  0.2653  0.1327  0.7072  1 Al 2.46, 1 Sn 2.53, 2 Pd 2.71
Pd  0.5000  0.0000  0.0000  2 Sn 2.67
Pd  0.5000  0.5000  0.0000  2 Sn 2.67
Pd  0.7347  0.8673  0.2928  1 Al 2.46, 1 Sn 2.53, 2 Pd 2.71
Pd  0.8673  0.1327  0.7072  1 Al 2.46, 1 Sn 2.53, 2 Pd 2.71
Pd  0.8673  0.7347  0.7072  1 Al 2.46, 1 Sn 2.53, 2 Pd 2.71

---

3.
# AcAlSnPd3

A relaxed structure of AcAlSnPd3 (PBE-GGA, Alexandria via LeMat-Bulk).

calculated formation energy: -403 kJ/mol of formula units
crystal system: orthorhombic
density of states at the Fermi level: 2.49 states/eV/f.u.

abc: 6.9272 6.9272 7.2948
angles: 90.00 90.00 130.15
Closest atoms and distances in Å follow each position.
Fractional coordinates of all 12 atoms:
Ac  0.1875  0.8125  0.7500  2 Pd 2.94
Ac  0.8125  0.1875  0.2500  2 Pd 2.94
Al  0.4556  0.5444  0.7500  5 Pd 2.43-2.56
Al  0.5444  0.4556  0.2500  5 Pd 2.43-2.56
Sn  0.1279  0.8721  0.2500  5 Pd 2.68-2.81
Sn  0.8721  0.1279  0.7500  5 Pd 2.68-2.81
Pd  0.2424  0.2424  0.0000  2 Al 2.43
Pd  0.2424  0.2424  0.5000  2 Al 2.43
Pd  0.3409  0.6591  0.2500  1 Al 2.56, 1 Sn 2.68
Pd  0.6591  0.3409  0.7500  1 Al 2.56, 1 Sn 2.68
Pd  0.7576  0.7576  0.0000  2 Al 2.43
Pd  0.7576  0.7576  0.5000  2 Al 2.43

---

4.
# Ac2Al4SnPd3

A relaxed structure of Ac2Al4SnPd3 (PBE-GGA, Alexandria via LeMat-Bulk).

calculated formation energy: -709 kJ/mol of formula units
crystal system: tetragonal
density of states at the Fermi level: 9.55 states/eV/f.u.

abc: 4.4660 4.4660 10.9343
angles: 90.00 90.00 90.00
Closest atoms and distances in Å follow each position.
Fractional coordinates of all 10 atoms:
Ac  0.0000  0.5000  0.2406  8 Al 3.39-3.45, 6 Pd 3.41-3.61, 2 Sn 3.61
Ac  0.5000  0.0000  0.7594  8 Al 3.39-3.45, 6 Pd 3.41-3.61, 2 Sn 3.61
Al  0.0000  0.0000  0.0000  4 Pd 2.60
Al  0.0000  0.5000  0.6459  3 Pd 2.54-2.74, 2 Sn 2.74
Al  0.5000  0.0000  0.3541  3 Pd 2.54-2.74, 2 Sn 2.74
Al  0.5000  0.5000  0.0000  4 Pd 2.60
Sn  0.0000  0.0000  0.5000  4 Al 2.74
Pd  0.0000  0.5000  0.8778  5 Al 2.54-2.60
Pd  0.5000  0.0000  0.1222  5 Al 2.54-2.60
Pd  0.5000  0.5000  0.5000  4 Al 2.74

---

5.
# Ac3Al2SnPd6

A relaxed structure of Ac3Al2SnPd6 (PBE-GGA, Alexandria via LeMat-Bulk).

calculated formation energy: -769 kJ/mol of formula units
crystal system: trigonal
density of states at the Fermi level: 5.95 states/eV/f.u.

abc: 5.9831 5.9831 9.0354
angles: 90.00 90.00 120.00
Closest atoms and distances in Å follow each position.
Fractional coordinates of all 12 atoms:
Ac  0.0000  0.0000  0.0000  6 Pd 3.05
Ac  0.3333  0.6667  0.6306  6 Pd 3.12
Ac  0.6667  0.3333  0.3694  6 Pd 3.12
Al  0.3333  0.6667  0.0449  3 Pd 2.61
Al  0.6667  0.3333  0.9551  3 Pd 2.61
Sn  0.0000  0.0000  0.5000  6 Pd 2.76
Pd  0.1763  0.3527  0.2706  1 Al 2.61, 1 Sn 2.76, 2 Pd 2.82
Pd  0.1763  0.8237  0.2706  1 Al 2.61, 1 Sn 2.76, 2 Pd 2.82
Pd  0.3527  0.1763  0.7294  1 Al 2.61, 1 Sn 2.76, 2 Pd 2.82
Pd  0.6473  0.8237  0.2706  1 Al 2.61, 1 Sn 2.76, 2 Pd 2.82
Pd  0.8237  0.1763  0.7294  1 Al 2.61, 1 Sn 2.76, 2 Pd 2.82
Pd  0.8237  0.6473  0.7294  1 Al 2.61, 1 Sn 2.76, 2 Pd 2.82

---

6.
# Ac3AlSn6Pd2

A relaxed structure of Ac3AlSn6Pd2 (PBE-GGA, Alexandria via LeMat-Bulk).

calculated formation energy: -380 kJ/mol of formula units
crystal system: trigonal
density of states at the Fermi level: 5.32 states/eV/f.u.

abc: 6.3798 6.3798 10.2251
angles: 90.00 90.00 120.00
Closest atoms and distances in Å follow each position.
Fractional coordinates of all 12 atoms:
Ac  0.0000  0.0000  0.0000  6 Sn 3.40, 6 Pd 3.76
Ac  0.3333  0.6667  0.5825  9 Sn 3.50-3.61, 3 Al 3.78
Ac  0.6667  0.3333  0.4175  9 Sn 3.50-3.61, 3 Al 3.78
Al  0.0000  0.0000  0.5000  6 Sn 2.96
Sn  0.1705  0.3410  0.2769  1 Pd 2.76, 1 Al 2.96
Sn  0.1705  0.8295  0.2769  1 Pd 2.76, 1 Al 2.96
Sn  0.3410  0.1705  0.7231  1 Pd 2.76, 1 Al 2.96
Sn  0.6590  0.8295  0.2769  1 Pd 2.76, 1 Al 2.96
Sn  0.8295  0.1705  0.7231  1 Pd 2.76, 1 Al 2.96
Sn  0.8295  0.6590  0.7231  1 Pd 2.76, 1 Al 2.96
Pd  0.3333  0.6667  0.0719  3 Sn 2.76
Pd  0.6667  0.3333  0.9281  3 Sn 2.76

---

7.
# Ac3Al2SnPd9

A relaxed structure of Ac3Al2SnPd9 (PBE-GGA, Alexandria via LeMat-Bulk).

calculated formation energy: -961 kJ/mol of formula units
crystal system: trigonal
density of states at the Fermi level: 7.25 states/eV/f.u.

abc: 5.9909 5.9909 11.0033
angles: 90.00 90.00 120.00
Closest atoms and distances in Å follow each position.
Fractional coordinates of all 15 atoms:
Ac  0.0000  0.0000  0.0000  6 Pd 3.00
Ac  0.3333  0.6667  0.6343  6 Pd 3.05
Ac  0.6667  0.3333  0.3657  6 Pd 3.05
Al  0.3333  0.6667  0.1583  6 Pd 2.43-2.45
Al  0.6667  0.3333  0.8417  6 Pd 2.43-2.45
Sn  0.0000  0.0000  0.5000  6 Pd 2.69
Pd  0.0000  0.5000  0.0000  2 Al 2.45
Pd  0.1659  0.3318  0.3126  1 Al 2.43, 1 Sn 2.69
Pd  0.1659  0.8341  0.3126  1 Al 2.43, 1 Sn 2.69
Pd  0.3318  0.1659  0.6874  1 Al 2.43, 1 Sn 2.69
Pd  0.5000  0.0000  0.0000  2 Al 2.45
Pd  0.5000  0.5000  0.0000  2 Al 2.45
Pd  0.6682  0.8341  0.3126  1 Al 2.43, 1 Sn 2.69
Pd  0.8341  0.1659  0.6874  1 Al 2.43, 1 Sn 2.69
Pd  0.8341  0.6682  0.6874  1 Al 2.43, 1 Sn 2.69

---

8.
# Ac3AlSn2Pd6

A relaxed structure of Ac3AlSn2Pd6 (PBE-GGA, Alexandria via LeMat-Bulk).

calculated formation energy: -897 kJ/mol of formula units
crystal system: trigonal
density of states at the Fermi level: 5.34 states/eV/f.u.

abc: 6.0329 6.0329 9.0164
angles: 90.00 90.00 120.00
Closest atoms and distances in Å follow each position.
Fractional coordinates of all 12 atoms:
Ac  0.0000  0.0000  0.0000  6 Pd 3.28, 6 Sn 3.51
Ac  0.3333  0.6667  0.6515  6 Pd 3.04
Ac  0.6667  0.3333  0.3485  6 Pd 3.04
Al  0.0000  0.0000  0.5000  6 Pd 2.53
Sn  0.3333  0.6667  0.0519  3 Pd 2.83
Sn  0.6667  0.3333  0.9481  3 Pd 2.83
Pd  0.1726  0.3452  0.3039  1 Al 2.53, 1 Sn 2.83
Pd  0.1726  0.8274  0.3039  1 Al 2.53, 1 Sn 2.83
Pd  0.3452  0.1726  0.6961  1 Al 2.53, 1 Sn 2.83
Pd  0.6548  0.8274  0.3039  1 Al 2.53, 1 Sn 2.83
Pd  0.8274  0.1726  0.6961  1 Al 2.53, 1 Sn 2.83
Pd  0.8274  0.6548  0.6961  1 Al 2.53, 1 Sn 2.83

---

9.
# SrAcAlPd

A relaxed structure of SrAcAlPd (PBE-GGA, Alexandria via LeMat-Bulk).

calculated formation energy: -128 kJ/mol of formula units
crystal system: cubic
density of states at the Fermi level: 3.63 states/eV/f.u.

abc: 5.4675 5.4675 5.4675
angles: 60.00 60.00 60.00
Closest atoms and distances in Å follow each position.
Fractional coordinates of all 4 atoms:
Sr  0.0000  0.0000  0.0000  4 Al 3.35, 4 Pd 3.35
Ac  0.5000  0.5000  0.5000  4 Al 3.35, 4 Pd 3.35
Al  0.7500  0.7500  0.7500  4 Ac 3.35, 4 Sr 3.35
Pd  0.2500  0.2500  0.2500  4 Ac 3.35, 4 Sr 3.35

---

10.
# SrAcAlPd

A relaxed structure of SrAcAlPd (PBE-GGA, Alexandria via LeMat-Bulk).

calculated formation energy: -184 kJ/mol of formula units
crystal system: trigonal
density of states at the Fermi level: 3.53 states/eV/f.u.

abc: 8.4763 8.4763 8.4763
angles: 30.34 30.34 30.34
Closest atoms and distances in Å follow each position.
Fractional coordinates of all 4 atoms:
Sr  0.0000  0.0000  0.0000  3 Al 3.36, 3 Pd 3.37
Ac  0.8249  0.8249  0.8249  3 Pd 3.28, 3 Al 3.30
Al  0.2438  0.2438  0.2438  3 Pd 2.56
Pd  0.5762  0.5762  0.5762  3 Al 2.56

---

Number 1: total energy -5.48 eV/atom. Number 2: total energy -5.31 eV/atom. Number 3: total energy -5.27 eV/atom. Number 4: total energy -5.01 eV/atom. Number 5: total energy -5.25 eV/atom. Number 6: total energy -4.53 eV/atom. Number 7: total energy -5.37 eV/atom. Number 8: total energy -5.38 eV/atom. Number 9: total energy -4.01 eV/atom. Number 10: total energy -4.16 eV/atom.